Li10Mn5Fe3O16 | Alexandria via LeMat-Bulk | PBE with a Hubbard U | optimized geometry; volume = 313 Å³/cell; SG = No. 1; VASP energy = -6.1198 eV/atom; D(E_F) = 0.02 states/eV per atom; calculated density = 4.07 Mg/m³
1.0
-3.071 0.171 -5.133
-2.896 -1.233 5.148
-1.638 9.736 1.322
Li Mn Fe O
10 5 3 16
Cartesian
-1.863 0.194 1.001
-4.308 7.247 -0.725
-3.962 5.330 -2.505
-2.661 5.225 -0.424
-3.457 1.948 2.026
-3.130 -0.393 3.090
-5.105 4.751 -0.308
-4.255 -0.279 0.985
-3.696 3.522 5.701
-1.638 9.569 1.282
-3.897 4.398 2.351
-3.606 2.717 -3.074
-3.149 -0.034 -1.757
-5.777 6.713 1.852
-5.022 2.107 -0.555
-2.825 7.246 1.840
-2.077 2.636 -0.559
-4.255 6.628 4.407
-2.946 8.617 0.315
-2.114 3.619 1.317
-2.712 5.760 3.315
-1.955 1.767 -2.420
-4.520 8.609 -2.351
-4.483 7.984 2.850
-3.763 3.056 3.901
-4.104 5.921 0.929
-3.669 3.682 -1.341
-3.236 1.134 0.114
-5.478 5.376 3.316
-6.042 7.991 0.367
-1.797 0.913 2.732
-5.108 3.304 1.342
-1.146 6.556 0.845
-0.419 1.680 0.273